Computed, not measured: crystalline LaMgIn3 at its relaxed geometry at the PBE level of DFT.

Cell lengths 5.308, 5.308, 5.308 Å; angles 90.00, 90.00, 90.00 degrees
Space group Pm-3m (No. 221)
Symmetry-distinct sites (fractional):
1 La 0.000 0.000 0.000
2 Mg 0.500 0.500 0.500
3 In 0.000 0.500 0.500

Properties
Formation enthalpy at 0 K in eV per atom: 0.043
Electronic total energy in eV per atom: -2.9045
N(E_F) in states/eV/atom: 0.527

***

Computed, not measured: crystalline La2MgIn at its relaxed geometry at the PBE level of DFT.

Cell lengths 3.589, 3.589, 9.483 Å; angles 90.00, 90.00, 90.00 degrees
Space group P4mm (No. 99)
Symmetry-distinct sites (fractional):
1 La 0.000 0.000 0.000
2 La 0.500 0.500 0.314
3 Mg 0.000 0.000 0.569
4 In 0.500 0.500 0.756

Properties
Formation enthalpy at 0 K in eV per atom: -0.163
Electronic total energy in eV per atom: -3.7103
N(E_F) in states/eV/atom: 0.894